<A>
! ZnMoRh | Alexandria | PBE | optimized geometry; values from VASP
! **Density of states at the Fermi level**: 0.751 states/eV per atom
! **Calculated density**: 10.044 g cm⁻³
! **M_tot**: 0.00 μB/f.u.
! **Calculated volume**: 14.6 A^3/atom
! **Space group**: P3m1
&SYSTEM
  ibrav = 0, nat = 3, ntyp = 3
/
ATOMIC_SPECIES
Mo 95.94 Mo.upf
Rh 102.91 Rh.upf
Zn 65.41 Zn.upf
ATOMIC_POSITIONS crystal
Mo 0.0000 0.0000 0.0015
Rh 0.3333 0.6667 0.4883
Zn 0.6667 0.3333 0.5103
CELL_PARAMETERS angstrom
4.3153 0.0000 0.0000
-2.1576 3.7371 0.0000
0.0000 0.0000 2.7089

=====

<B>
! ZnMoRh | Alexandria | PBE | optimized geometry; values from VASP
! **Density of states at the Fermi level**: 0.785 states/eV per atom
! **Calculated density**: 10.048 g cm⁻³
! **M_tot**: 0.00 μB/f.u.
! **Calculated volume**: 14.6 A^3/atom
! **Space group**: Imm2
&SYSTEM
  ibrav = 0, nat = 3, ntyp = 3
/
ATOMIC_SPECIES
Zn 65.41 Zn.upf
Rh 102.91 Rh.upf
Mo 95.94 Mo.upf
ATOMIC_POSITIONS crystal
Zn 0.6685 0.6685 0.0000
Rh 0.3341 0.3341 0.0000
Mo 0.9974 0.9974 0.0000
CELL_PARAMETERS angstrom
-3.7309 2.2241 1.8829
-4.3874 -1.5438 -0.8830
4.2659 -1.1284 1.7149

=====

Energies in kJ/mol of atoms, measured from the most stable structure: <A> 1.5; <B> 0.0.

=====

<A>
! ZnMoRh3 | Alexandria | PBE | optimized geometry; values from VASP
! **Density of states at the Fermi level**: 0.666 states/eV per atom
! **Calculated density**: 7.646 g cm⁻³
! **M_tot**: 0.00 μB/f.u.
! **Calculated volume**: 20.4 A^3/atom
! **Space group**: Pm-3m
&SYSTEM
  ibrav = 0, nat = 5, ntyp = 3
/
ATOMIC_SPECIES
Rh 102.91 Rh.upf
Zn 65.41 Zn.upf
Mo 95.94 Mo.upf
ATOMIC_POSITIONS crystal
Rh 0.0000 0.0000 0.5000
Rh 0.5000 0.0000 0.0000
Rh 0.0000 0.5000 0.0000
Zn 0.5000 0.5000 0.5000
Mo 0.0000 0.0000 0.0000
CELL_PARAMETERS angstrom
4.6736 0.0000 0.0000
0.0000 4.6736 0.0000
0.0000 0.0000 4.6736

=====

<B>
! ZnMoRh3 | Alexandria | PBE | optimized geometry; values from VASP
! **Density of states at the Fermi level**: 2.222 states/eV per atom
! **Calculated density**: 9.001 g cm⁻³
! **M_tot**: 0.04 μB/f.u.
! **Calculated volume**: 17.3 A^3/atom
! **Space group**: Pm-3m
&SYSTEM
  ibrav = 0, nat = 5, ntyp = 3
/
ATOMIC_SPECIES
Rh 102.91 Rh.upf
Zn 65.41 Zn.upf
Mo 95.94 Mo.upf
ATOMIC_POSITIONS crystal
Rh 0.0000 0.0000 0.5000
Rh 0.5000 0.0000 0.0000
Rh 0.0000 0.5000 0.0000
Zn 0.0000 0.0000 0.0000
Mo 0.5000 0.5000 0.5000
CELL_PARAMETERS angstrom
-2.1758 -0.9741 3.7295
0.2986 -4.3123 -0.9521
3.8430 -0.2165 2.1854

=====

Energies in kJ/mol of atoms, measured from the most stable structure: <A> 0.0; <B> 14.2.

=====

<A>
! ZrMoRh2 | Alexandria | PBE | optimized geometry; values from VASP
! **Density of states at the Fermi level**: 0.872 states/eV per atom
! **Calculated density**: 9.773 g cm⁻³
! **M_tot**: 0.00 μB/f.u.
! **Calculated volume**: 16.7 A^3/atom
! **Space group**: P4mm
&SYSTEM
  ibrav = 0, nat = 4, ntyp = 3
/
ATOMIC_SPECIES
Rh 102.91 Rh.upf
Mo 95.94 Mo.upf
Zr 91.22 Zr.upf
ATOMIC_POSITIONS crystal
Rh 0.5000 0.5000 0.2508
Rh 0.0000 0.0000 0.9782
Mo 0.5000 0.5000 0.7891
Zr 0.0000 0.0000 0.4819
CELL_PARAMETERS angstrom
3.3034 0.0000 0.0000
0.0000 3.3034 0.0000
0.0000 0.0000 6.1191

=====

<B>
! ZrMoRh2 | Alexandria | PBE | optimized geometry; values from VASP
! **Density of states at the Fermi level**: 0.970 states/eV per atom
! **Calculated density**: 10.008 g cm⁻³
! **M_tot**: 0.00 μB/f.u.
! **Calculated volume**: 16.3 A^3/atom
! **Space group**: R-3m
&SYSTEM
  ibrav = 0, nat = 4, ntyp = 3
/
ATOMIC_SPECIES
Rh 102.91 Rh.upf
Mo 95.94 Mo.upf
Zr 91.22 Zr.upf
ATOMIC_POSITIONS crystal
Rh 0.4948 0.4948 0.4948
Rh 0.0052 0.0052 0.0052
Mo 0.7500 0.7500 0.7500
Zr 0.2500 0.2500 0.2500
CELL_PARAMETERS angstrom
9.3121 -0.0149 -0.0087
8.8755 2.8180 -0.0087
8.8755 1.3679 2.4637

=====

Energies in kJ/mol of atoms, measured from the most stable structure: <A> 0.0; <B> 14.6.

=====

<A>
! ZrMoRh2 | Alexandria | PBE | optimized geometry; values from VASP
! **Density of states at the Fermi level**: 0.953 states/eV per atom
! **Calculated density**: 10.085 g cm⁻³
! **M_tot**: 0.00 μB/f.u.
! **Calculated volume**: 16.2 A^3/atom
! **Space group**: Cmmm
&SYSTEM
  ibrav = 0, nat = 4, ntyp = 3
/
ATOMIC_SPECIES
Mo 95.94 Mo.upf
Zr 91.22 Zr.upf
Rh 102.91 Rh.upf
ATOMIC_POSITIONS crystal
Mo 0.0000 0.5000 0.5000
Zr 0.5000 0.0000 0.5000
Rh 0.5000 0.5000 0.0000
Rh 0.0000 0.0000 0.0000
CELL_PARAMETERS angstrom
-4.2964 0.8135 2.0229
1.6399 -4.1316 1.8584
1.2910 1.4784 2.1475

=====

<B>
! ZrMoRh2 | Alexandria | PBE | optimized geometry; values from VASP
! **Density of states at the Fermi level**: 1.179 states/eV per atom
! **Calculated density**: 10.012 g cm⁻³
! **M_tot**: 0.00 μB/f.u.
! **Calculated volume**: 16.3 A^3/atom
! **Space group**: I-4m2
&SYSTEM
  ibrav = 0, nat = 4, ntyp = 3
/
ATOMIC_SPECIES
Rh 102.91 Rh.upf
Mo 95.94 Mo.upf
Zr 91.22 Zr.upf
ATOMIC_POSITIONS crystal
Rh 0.7499 0.2499 0.5000
Rh 0.0000 0.0000 0.0000
Mo 0.2500 0.7500 0.5000
Zr 0.5000 0.5000 0.0000
CELL_PARAMETERS angstrom
-2.5537 3.6400 -2.3188
-3.1417 -1.8065 -3.4661
0.8287 -1.1024 4.8214

=====

Energies in kJ/mol of atoms, measured from the most stable structure: <A> 0.0; <B> 9.3.